Record 1
Compound: CrTeW2
Source: the Alexandria database
Functional: SCAN
Structure: single point on PBEsol structure

Cell and atoms, written as POSCAR:
```
CrTeW2
1.0
9.344 0.000 0.000
0.000 3.111 0.000
-0.958 0.000 4.406
Cr Te W
2 2 4
Direct
0.000 0.000 0.000
0.500 0.500 0.000
0.000 0.500 0.500
0.500 0.000 0.500
0.243 0.500 0.228
0.257 0.000 0.772
0.743 0.000 0.228
0.757 0.500 0.772
```

Summary:
M_tot (Bohr magnetons per cell): 3.520
Symmetry: C2/m (12)
Formation energy (no corrections) (eV per atom): 0.59
DOS at the Fermi energy (states/eV/atom): 0.7803
Electronic total energy (eV per atom): -48.168



Record 2
Compound: NaLaScSbO6
Source: the Alexandria database
Functional: SCAN
Structure: single point on PBEsol structure

Cell and atoms, written as POSCAR:
```
NaLaScSbO6
1.0
5.580 0.000 0.000
0.000 5.663 0.000
-5.574 0.000 7.941
Na La Sc Sb O
2 2 2 2 12
Direct
0.000 0.224 0.000
0.000 0.776 0.500
0.516 0.293 0.501
0.516 0.707 0.001
0.258 0.243 0.752
0.258 0.757 0.252
0.756 0.246 0.251
0.756 0.754 0.751
0.086 0.230 0.495
0.086 0.770 0.995
0.434 0.273 0.007
0.434 0.727 0.507
0.514 0.048 0.296
0.514 0.952 0.796
0.588 0.473 0.794
0.588 0.527 0.294
0.909 0.039 0.706
0.909 0.961 0.206
0.994 0.460 0.211
0.994 0.540 0.711
```

Summary:
M_tot (Bohr magnetons per cell): 0.000
Symmetry: Pc (7)
Formation energy (no corrections) (eV per atom): -2.85
DOS at the Fermi energy (states/eV/atom): 0.0000
Electronic total energy (eV per atom): -16.473



Record 3
Compound: ZnFe3Te
Source: the Alexandria database
Functional: SCAN
Structure: single point on PBEsol structure

Cell and atoms, written as POSCAR:
```
ZnFe3Te
1.0
4.384 0.000 0.000
0.000 4.384 0.000
0.000 0.000 4.384
Zn Fe Te
1 3 1
Direct
0.000 0.000 0.000
0.000 0.000 0.500
0.000 0.500 0.000
0.500 0.000 0.000
0.500 0.500 0.500
```

Summary:
M_tot (Bohr magnetons per cell): 8.236
Symmetry: Pm-3m (221)
Formation energy (no corrections) (eV per atom): 0.91
DOS at the Fermi energy (states/eV/atom): 1.1007
Electronic total energy (eV per atom): -20.116



Record 4
Compound: Y12Al7Si
Source: the Alexandria database
Functional: SCAN
Structure: single point on PBEsol structure

Cell and atoms, written as POSCAR:
```
Y12Al7Si
1.0
-5.780 5.780 7.531
5.780 -5.780 7.531
5.780 5.780 -7.531
Y Al Si
24 14 2
Direct
0.063 0.927 0.264
0.073 0.337 0.136
0.148 0.648 0.500
0.163 0.427 0.864
0.171 0.329 0.500
0.201 0.937 0.864
0.299 0.163 0.736
0.329 0.829 0.157
0.337 0.201 0.264
0.352 0.852 0.500
0.427 0.563 0.264
0.437 0.701 0.864
0.563 0.299 0.136
0.573 0.437 0.736
0.648 0.148 0.500
0.663 0.799 0.736
0.671 0.171 0.843
0.701 0.837 0.264
0.799 0.063 0.136
0.829 0.671 0.500
0.837 0.573 0.136
0.852 0.352 0.500
0.927 0.663 0.864
0.937 0.073 0.736
0.000 0.000 0.000
0.025 0.882 0.500
0.118 0.618 0.144
0.118 0.618 0.737
0.382 0.118 0.500
0.382 0.525 0.500
0.475 0.975 0.856
0.500 0.500 0.000
0.525 0.025 0.144
0.618 0.475 0.500
0.618 0.882 0.500
0.882 0.382 0.263
0.882 0.382 0.856
0.975 0.118 0.500
0.250 0.250 0.000
0.750 0.750 0.000
```

Summary:
M_tot (Bohr magnetons per cell): 1.640
Symmetry: I4/mcm (140)
Formation energy (no corrections) (eV per atom): -0.46
DOS at the Fermi energy (states/eV/atom): 0.4880
Electronic total energy (eV per atom): -20.385



The highest electronic total energy belongs to which entry?
NaLaScSbO6



Which of these has the highest DOS at the Fermi energy?
ZnFe3Te



Among the records above, which one has the highest DOS at the Fermi energy?
ZnFe3Te